Record 1
A plane-wave DFT calculation with PBEsol was carried out for MnAlAu2 after structural relaxation.

Structure (CIF):
```
data_MnAlAu2
_chemical_formula_sum 'Mn1 Al1 Au2'
_cell_length_a 3.309
_cell_length_b 3.422
_cell_length_c 5.569
_cell_angle_alpha 90.00
_cell_angle_beta 90.00
_cell_angle_gamma 90.00
_space_group_name_H-M_alt 'P m m 2'
_space_group_IT_number 25
_space_group_name_Hall 'P 2 -2'
loop_
_atom_site_label
_atom_site_type_symbol
_atom_site_fract_x
_atom_site_fract_y
_atom_site_fract_z
Mn1 Mn 0.000 0.000 0.000
Al1 Al 0.500 0.500 0.271
Au1 Au 0.000 0.000 0.485
Au2 Au 0.500 0.500 0.786
```

Results
VASP energy, eV/atom: -5.551
Magnetization, μB per cell: 3.919

Record 2
A plane-wave DFT calculation with PBEsol was carried out for MnAlAu2 after structural relaxation.

Structure (CIF):
```
data_MnAlAu2
_chemical_formula_sum 'Mn2 Al2 Au4'
_cell_length_a 9.146
_cell_length_b 3.204
_cell_length_c 4.449
_cell_angle_alpha 90.00
_cell_angle_beta 104.68
_cell_angle_gamma 90.00
_space_group_name_H-M_alt 'C 1 m 1'
_space_group_IT_number 8
_space_group_name_Hall 'C -2y'
loop_
_atom_site_label
_atom_site_type_symbol
_atom_site_fract_x
_atom_site_fract_y
_atom_site_fract_z
Mn1 Mn 0.000 0.000 0.000
Al1 Al 0.252 0.500 0.308
Au1 Au 0.255 0.000 0.814
Au2 Au 0.493 0.000 0.490
```

Results
VASP energy, eV/atom: -5.572
Magnetization, μB per cell: 8.007